# Pr3Si4Ag2Pd2 (PBE, optimized geometry)
# Final energy   -59.8 eV per formula unit
data_Pr3Si4Ag2Pd2
_symmetry_space_group_name_H-M 'I m m m'
_symmetry_Int_Tables_number 71
_symmetry_space_group_name_Hall '-I 2 2'
_cell_length_a 4.230
_cell_length_b 4.253
_cell_length_c 25.151
_cell_angle_alpha 90.00
_cell_angle_beta 90.00
_cell_angle_gamma 90.00
loop_
_atom_site_label
_atom_site_type_symbol
_atom_site_fract_x
_atom_site_fract_y
_atom_site_fract_z
Pr1 Pr 0.000 0.000 0.000
Pr2 Pr 0.000 0.500 0.146
Si1 Si 0.000 0.000 0.453
Si2 Si 0.000 0.500 0.312
Ag1 Ag 0.000 0.000 0.249
Pd1 Pd 0.000 0.500 0.407